{
  "formula": "Mg5Sn6",
  "functional": "PBE-GGA",
  "state": "relaxed",
  "ef_kj_per_mol_atoms": -8,
  "m_tot_mub_per_fu": 0.0,
  "de_polymorph_mev_per_atom": 0,
  "space_group": "C2/m",
  "lattice": [[-3.0806, 4.0556, -1.2505], [-5.5754, -4.0161, 1.0062], [4.1315, 2.0827, 7.4251]],
  "species": ["Mg", "Mg", "Mg", "Sn", "Sn", "Sn", "Mg", "Sn", "Sn", "Mg", "Sn"],
  "frac_coords": [[0.3336, 0.3336, 0.6672], [0.6664, 0.6664, 0.3328], [0.3185, 0.8185, 0.6369], [0.1543, 0.9188, 0.3096], [0.8447, 0.6093, 0.6904], [0.5011, 0.7722, 0.0000], [0.0000, 0.5000, 0.0000], [0.1553, 0.3907, 0.3096], [0.8457, 0.0812, 0.6904], [0.6815, 0.1815, 0.3631], [0.4989, 0.2278, 0.0000]]
}